# YGaMoF2

A relaxed structure of YGaMoF2 (GGA+U, Alexandria).

As for the crystal system: tetragonal. As for the density of states at the Fermi level: 0.42 states/eV/atom. Its uncorrected energy is -22.44 eV for the cell shown. The value obtained for the density is 4.2 g/cm3.

The structure belongs to space group P4/mmm (No. 123); the cell edges are 4.329, 4.329 and 6.148 Å and the angles 90.00°, 90.00° and 90.00°. The inequivalent atoms are Y at (0.000, 0.000, 0.000), Ga at (0.000, 0.000, 0.500), Mo at (0.500, 0.500, 0.000) and F at (0.000, 0.500, 0.500).